! Li10FeNi9O20 PBE with a Hubbard U optimized geometry; values from VASP
&SYSTEM
  ibrav = 0, nat = 40, ntyp = 4
/
ATOMIC_SPECIES
Li 6.94 Li.upf
Fe 55.84 Fe.upf
Ni 58.69 Ni.upf
O 16.00 O.upf
CELL_PARAMETERS angstrom
6.4610 0.0000 0.0000
0.0566 7.6848 0.0000
0.0823 3.2138 7.0032
ATOMIC_POSITIONS angstrom
Li 0.0000 0.0000 0.0000
Li 0.7454 6.0034 6.2876
Li 1.4042 8.7119 5.6090
Li 2.0082 3.8432 4.9144
Li 2.6505 6.5225 4.1826
Li 3.2717 1.6069 3.5016
Li 3.9495 4.3761 2.8206
Li 4.5918 7.0555 2.0888
Li 5.1958 2.1867 1.3942
Li 5.8546 4.8952 0.7156
Fe 3.2588 3.8424 0.0000
Ni 0.0695 5.4493 3.5016
Ni 0.7350 8.2010 2.8133
Ni 1.3296 3.2604 2.1027
Ni 2.0091 6.0279 1.4272
Ni 2.5946 1.0773 0.6913
Ni 4.0054 9.8213 6.3118
Ni 4.5909 4.8708 5.5760
Ni 5.2703 7.6382 4.9005
Ni 5.8650 2.6976 4.1898
O 0.1288 6.6742 1.8650
O 0.6999 7.1403 4.3840
O 0.7557 1.5195 1.1811
O 1.1791 2.0732 3.8096
O 1.4400 4.3486 0.3338
O 1.8555 4.9155 3.1440
O 2.2111 10.4105 6.7268
O 2.5325 7.7245 2.4937
O 2.7073 5.5205 5.9984
O 3.2097 2.6756 1.5643
O 3.3903 8.2230 5.4388
O 3.8927 5.3782 1.0048
O 4.0675 3.1741 4.5095
O 4.3889 0.4881 0.2763
O 4.7445 5.9831 3.8592
O 5.1600 6.5500 6.6694
O 5.4209 8.8254 3.1936
O 5.8443 9.3792 5.8221
O 5.9001 3.7583 2.6192
O 6.4711 4.2244 5.1381
! energy = -4.97 eV/atom
! total moment = 0.3000 μB per atom